[1]
Ta2HgAu: relaxed, PBE.

## Properties
DOS at the Fermi energy, states/eV/cell: 3.0
Space group: Pm (6)
Mass density, g cm⁻³: 17.06
Volume, Å³ per cell: 73.9
Energy of formation, meV per atom: 235

The structure in POSCAR format:
```
Ta2HgAu
1.0
4.762 0.000 0.000
0.000 2.947 -0.011
0.000 0.255 5.265
Au Hg Ta
1 1 2
Cartesian
0.000 1.943 2.459 Au
2.381 2.048 4.094 Hg
0.000 0.454 5.130 Ta
2.381 0.613 1.464 Ta
```



[2]
TaHgAu: relaxed, PBE.

## Properties
Relative energy among the computed polymorphs, kJ per mole of atoms: 0.0
DOS at the Fermi energy, states/eV/cell: 3.1
Space group: P-1 (2)
Mass density, g cm⁻³: 15.70
Volume, Å³ per cell: 122.4
Energy of formation, meV per atom: 2

The structure in POSCAR format:
```
TaHgAu
1.0
-2.822 -0.683 0.225
-0.132 -0.268 2.899
-4.526 13.885 0.810
Au Hg Ta
2 2 2
Cartesian
-2.333 3.457 2.377 Au
-5.148 9.477 1.557 Au
-4.268 12.346 1.981 Hg
-3.212 0.588 1.954 Hg
-3.322 7.642 2.724 Ta
-4.159 5.292 1.210 Ta
```



[3]
TaHg4Au: relaxed, PBE.

## Properties
DOS at the Fermi energy, states/eV/cell: 5.4
Space group: F-43m (216)
Mass density, g cm⁻³: 14.78
Volume, Å³ per cell: 132.6
Energy of formation, meV per atom: 822

The structure in POSCAR format:
```
TaHg4Au
1.0
-3.787 -0.603 4.250
-1.815 4.596 2.889
-5.371 1.863 -0.667
Ta Hg Au
1 4 1
Cartesian
-8.230 4.392 4.854 Ta
-6.008 1.896 4.550 Hg
-6.799 3.127 2.095 Hg
-5.023 4.492 3.871 Hg
-4.117 2.197 2.428 Hg
0.000 0.000 0.000 Au
```



What did the second record say?
TaHgAu: relaxed, PBE.

## Properties
Relative energy among the computed polymorphs, kJ per mole of atoms: 0.0
DOS at the Fermi energy, states/eV/cell: 3.1
Space group: P-1 (2)
Mass density, g cm⁻³: 15.70
Volume, Å³ per cell: 122.4
Energy of formation, meV per atom: 2

The structure in POSCAR format:
```
TaHgAu
1.0
-2.822 -0.683 0.225
-0.132 -0.268 2.899
-4.526 13.885 0.810
Au Hg Ta
2 2 2
Cartesian
-2.333 3.457 2.377 Au
-5.148 9.477 1.557 Au
-4.268 12.346 1.981 Hg
-3.212 0.588 1.954 Hg
-3.322 7.642 2.724 Ta
-4.159 5.292 1.210 Ta
```